Below is a relaxed ThOs3 crystal, with properties calculated at the PBE-GGA level.

SG   No. 194
E_form   -0.092 eV/atom
N(E_F)   3.98 states/eV/f.u.

Unit cell a=5.347 b=5.347 c=17.975 alpha=90.00 beta=90.00 gamma=120.00
Fractional positions:
Th: 0.667 0.333 0.539
Th: 0.333 0.667 0.039
Th: 0.333 0.667 0.461
Th: 0.667 0.333 0.961
Th: 0.667 0.333 0.750
Th: 0.333 0.667 0.250
Os: 0.335 0.167 0.129
Os: 0.833 0.167 0.129
Os: 0.833 0.665 0.129
Os: 0.665 0.833 0.629
Os: 0.167 0.833 0.629
Os: 0.167 0.335 0.629
Os: 0.167 0.833 0.871
Os: 0.665 0.833 0.871
Os: 0.167 0.335 0.871
Os: 0.833 0.167 0.371
Os: 0.335 0.167 0.371
Os: 0.833 0.665 0.371
Os: 0.667 0.333 0.250
Os: 0.333 0.667 0.750
Os: 0.000 0.000 0.250
Os: 0.000 0.000 0.750
Os: 0.000 0.000 0.000
Os: 0.000 0.000 0.500